1.
TcAg2W | PBE | relaxed

extended XYZ file:
```
4
Lattice="-1.6113 2.3810 4.4752 1.6113 -2.3810 4.4752 1.6113 2.3810 -4.4752" Properties=species:S:1:pos:R:3 pbc="T T T"
Tc 0.0000 0.0000 0.0000
Ag 0.0000 0.0000 4.1760
Ag 0.0000 2.3810 2.0566
W 1.6113 0.0000 1.7696
```

The formation energy from the elements comes out at 581 meV per atom. For the density of states at the Fermi level, the calculation gives 2.166 states/eV/cell. For the excess energy over the best structure of this formula in the dataset, the calculation gives 0.2587 eV per atom. As for the space-group type: No. 44. Its magnetization is 0.000 μB/cell.

***

2.
EuDyAl2 | PBE | relaxed

extended XYZ file:
```
4
Lattice="0.0000 3.6794 3.6794 3.6794 0.0000 3.6794 3.6794 3.6794 0.0000" Properties=species:S:1:pos:R:3 pbc="T T T"
Eu 0.0000 0.0000 0.0000
Dy 3.6794 3.6794 3.6794
Al 1.8397 1.8397 1.8397
Al 5.5191 5.5191 5.5191
```

The formation energy from the elements comes out at -282 meV per atom. For the density of states at the Fermi level, the calculation gives 5.058 states/eV/cell. For the excess energy over the best structure of this formula in the dataset, the calculation gives 0.0319 eV per atom. As for the space-group type: No. 225. Its magnetization is 6.897 μB/cell.

***

3.
Tb2UTl2Te6 | PBE | relaxed

extended XYZ file:
```
11
Lattice="3.8178 -6.6214 0.0000 3.8178 6.6214 0.0000 -2.5832 0.0000 8.2512" Properties=species:S:1:pos:R:3 pbc="T T T"
Tb 3.8178 4.3997 0.0000
Tb 3.8178 -4.3997 0.0000
U 3.8178 0.0000 0.0000
Tl 2.5262 2.2116 4.1256
Tl 2.5262 -2.2116 4.1256
Te -0.0267 2.1706 6.4891
Te 1.2924 0.0000 1.7586
Te -0.0267 -2.1706 6.4891
Te 5.0792 2.1706 1.7621
Te 3.7601 0.0000 6.4926
Te 5.0792 -2.1706 1.7621
```

As for the energy relative to the elements, uncorrected: -931.2 meV per atom. For the density of states at the Fermi level, the calculation gives 6.408 states/eV/cell. As for the space-group type: No. 12. Its magnetization is 2.000 μB/cell.

***

4.
MgBeSi3 | PBE | relaxed

extended XYZ file:
```
5
Lattice="4.8456 0.0000 0.0000 0.0000 4.8456 0.0000 0.0000 0.0000 4.8456" Properties=species:S:1:pos:R:3 pbc="T T T"
Mg 0.0000 0.0000 0.0000
Be 2.4228 2.4228 2.4228
Si 0.0000 0.0000 2.4228
Si 0.0000 2.4228 0.0000
Si 2.4228 0.0000 0.0000
```

As for the energy relative to the elements, uncorrected: 1559.7 meV per atom. For the density of states at the Fermi level, the calculation gives 1.429 states/eV/cell. For the excess energy over the best structure of this formula in the dataset, the calculation gives 0.9789 eV per atom. As for the space-group type: No. 221. Its magnetization is 0.000 μB/cell.

***

5.
Er4NiHg2 | PBE | relaxed

extended XYZ file:
```
14
Lattice="7.8653 0.0000 0.0000 0.0000 12.5854 0.0000 0.0000 0.0000 3.8699" Properties=species:S:1:pos:R:3 pbc="T T T"
Er 0.9570 2.4670 0.0000
Er 1.7494 11.9156 1.9349
Er 2.1832 5.6229 1.9349
Er 2.9757 8.7597 0.0000
Er 4.8896 3.8257 0.0000
Er 5.6820 6.9625 1.9349
Er 6.1159 0.6698 1.9349
Er 6.9083 10.1184 0.0000
Ni 0.0000 0.0000 0.0000
Ni 3.9326 6.2927 0.0000
Hg 0.6367 8.3587 1.9349
Hg 3.2959 2.0660 1.9349
Hg 4.5694 10.5194 1.9349
Hg 7.2285 4.2267 1.9349
```

The formation energy from the elements comes out at -285 meV per atom. For the density of states at the Fermi level, the calculation gives 15.944 states/eV/cell. As for the space-group type: No. 55. Its magnetization is 0.000 μB/cell.

***

6.
Tl2As2Br | PBE | relaxed

extended XYZ file:
```
10
Lattice="9.0782 0.0000 0.0000 0.0000 9.0782 0.0000 0.0000 0.0000 4.2526" Properties=species:S:1:pos:R:3 pbc="T T T"
Tl 1.8687 2.6704 0.0000
Tl 2.6704 7.2095 0.0000
Tl 6.4078 1.8687 0.0000
Tl 7.2095 6.4078 0.0000
As 0.7863 5.3254 2.1263
As 3.7528 0.7863 2.1263
As 5.3254 8.2919 2.1263
As 8.2919 3.7528 2.1263
Br 0.0000 0.0000 0.0000
Br 4.5391 4.5391 0.0000
```

As for the energy relative to the elements, uncorrected: -29.6 meV per atom. For the density of states at the Fermi level, the calculation gives 6.326 states/eV/cell. For the excess energy over the best structure of this formula in the dataset, the calculation gives 0.2052 eV per atom. As for the space-group type: No. 127. Its magnetization is 0.000 μB/cell.

***

7.
HfZrUZn | PBE | relaxed

extended XYZ file:
```
4
Lattice="0.0000 3.4517 3.4517 3.4517 0.0000 3.4517 3.4517 3.4517 0.0000" Properties=species:S:1:pos:R:3 pbc="T T T"
Hf 0.0000 0.0000 0.0000
Zr 3.4517 3.4517 3.4517
U 5.1775 5.1775 5.1775
Zn 1.7258 1.7258 1.7258
```

The formation energy from the elements comes out at 289 meV per atom. For the density of states at the Fermi level, the calculation gives 5.702 states/eV/cell. As for the space-group type: No. 216. Its magnetization is 2.545 μB/cell.

***

8.
Nb2PdAu3 | PBE | relaxed

extended XYZ file:
```
12
Lattice="3.6138 -4.0237 0.0000 3.6138 4.0237 0.0000 -1.2528 0.0000 7.1144" Properties=species:S:1:pos:R:3 pbc="T T T"
Nb 1.6095 2.0380 6.2308
Nb 3.7390 2.0380 4.4408
Nb 2.2359 -2.0380 2.6736
Nb 4.3654 -2.0380 0.8836
Pd 3.3006 3.3477 1.7786
Pd 2.6743 -3.3477 5.3358
Au 1.1525 0.6632 3.5574
Au 1.7789 -0.6632 0.0002
Au 3.3006 0.6797 1.7786
Au 2.6743 -0.6797 5.3358
Au 4.1960 0.6632 7.1142
Au 4.8224 -0.6632 3.5570
```

The formation energy from the elements comes out at -197 meV per atom. For the density of states at the Fermi level, the calculation gives 5.837 states/eV/cell. As for the space-group type: No. 15. Its magnetization is 0.000 μB/cell.

***

9.
Cd2Br2O | PBE | relaxed

extended XYZ file:
```
10
Lattice="-2.1454 9.8924 3.2412 2.1454 -9.8924 3.2412 2.1454 9.8924 -3.2412" Properties=species:S:1:pos:R:3 pbc="T T T"
Cd 0.8254 1.3545 0.0000
Cd 0.8254 -1.3545 3.2412
Cd 1.3200 11.2469 0.0000
Cd 1.3200 8.5379 3.2412
Br 2.9187 2.9473 0.0000
Br 0.7734 6.9451 0.0000
Br 1.3720 2.9473 3.2412
Br -0.7734 6.9451 3.2412
O 0.0000 0.0000 1.6206
O 0.0000 0.0000 4.8618
```

As for the energy relative to the elements, uncorrected: -816.6 meV per atom. For the excess energy over the best structure of this formula in the dataset, the calculation gives 0.0000 eV per atom. As for the space-group type: No. 72. Its magnetization is 0.000 μB/cell.

***

10.
Co2RuBr | PBE | relaxed

extended XYZ file:
```
4
Lattice="4.5733 -1.4667 0.0000 4.5733 1.4667 0.0000 -0.1614 0.0000 4.3951" Properties=species:S:1:pos:R:3 pbc="T T T"
Co 2.0344 0.0000 0.9095
Co 6.9508 0.0000 3.4855
Ru 4.5733 0.0000 0.0000
Br -0.0807 0.0000 2.1975
```

As for the energy relative to the elements, uncorrected: 792.2 meV per atom. For the density of states at the Fermi level, the calculation gives 5.008 states/eV/cell. For the excess energy over the best structure of this formula in the dataset, the calculation gives 0.2663 eV per atom. As for the space-group type: No. 12. Its magnetization is 4.302 μB/cell.

***

11.
PRhPb | PBE | relaxed

extended XYZ file:
```
3
Lattice="-1.5621 1.5621 6.1606 1.5621 -1.5621 6.1606 1.5621 1.5621 -6.1606" Properties=species:S:1:pos:R:3 pbc="T T T"
P 0.0000 0.0000 0.0000
Rh 0.0000 0.0000 7.1499
Pb 0.0000 0.0000 3.2949
```

The formation energy from the elements comes out at -144 meV per atom. For the density of states at the Fermi level, the calculation gives 1.957 states/eV/cell. As for the space-group type: No. 107. Its magnetization is 0.000 μB/cell.

***

12.
CrHgW2Au | PBE | relaxed

extended XYZ file:
```
5
Lattice="4.4743 0.0000 0.0000 0.0000 4.4743 0.0000 0.0000 0.0000 4.9689" Properties=species:S:1:pos:R:3 pbc="T T T"
Cr 0.0000 0.0000 0.0000
Hg 0.0000 0.0000 2.4845
W 0.0000 2.2371 0.0000
W 2.2371 0.0000 0.0000
Au 2.2371 2.2371 2.4845
```

The formation energy from the elements comes out at 1547 meV per atom. For the density of states at the Fermi level, the calculation gives 5.956 states/eV/cell. As for the space-group type: No. 123. Its magnetization is 0.000 μB/cell.

***

13.
GaSiN | PBE | relaxed

extended XYZ file:
```
6
Lattice="4.5830 -1.4563 0.0000 4.5830 1.4563 0.0000 -2.8055 0.0000 6.7741" Properties=species:S:1:pos:R:3 pbc="T T T"
Ga 0.0000 0.0000 0.0000
Ga 3.9273 0.0000 6.3432
Si 4.7698 0.0000 2.9287
Si 6.8396 0.0000 4.2853
N 0.1473 0.0000 2.0148
N 3.3120 0.0000 4.0373
```

As for the energy relative to the elements, uncorrected: -237.2 meV per atom. For the density of states at the Fermi level, the calculation gives 1.810 states/eV/cell. For the excess energy over the best structure of this formula in the dataset, the calculation gives 0.1756 eV per atom. As for the space-group type: No. 8. Its magnetization is 0.000 μB/cell.

***

14.
AcSmP2 | PBE | relaxed

extended XYZ file:
```
8
Lattice="4.2324 0.0000 0.0000 -2.1162 3.6653 0.0000 0.0000 0.0000 14.1570" Properties=species:S:1:pos:R:3 pbc="T T T"
Ac 0.0000 2.4436 3.5392
Ac 2.1162 1.2218 10.6177
Sm 0.0000 0.0000 0.0000
Sm 0.0000 0.0000 7.0785
P 0.0000 2.4436 8.7095
P 0.0000 2.4436 12.5260
P 2.1162 1.2218 1.6310
P 2.1162 1.2218 5.4475
```

The formation energy from the elements comes out at -1464 meV per atom. For the density of states at the Fermi level, the calculation gives 0.847 states/eV/cell. For the excess energy over the best structure of this formula in the dataset, the calculation gives 0.0273 eV per atom. As for the space-group type: No. 194. Its magnetization is 0.000 μB/cell.

***

15.
CePrY3Er | PBE | relaxed

extended XYZ file:
```
12
Lattice="2.5401 -7.5766 0.0000 2.5401 7.5766 0.0000 0.0000 0.0000 10.1390" Properties=species:S:1:pos:R:3 pbc="T T T"
Ce 2.5401 7.5601 7.6042
Ce 2.5401 -7.5601 2.5347
Pr 2.5401 0.0000 0.0000
Pr 2.5401 0.0000 5.0695
Y 2.5401 5.0675 10.1348
Y 2.5401 5.0675 5.0737
Y 2.5401 2.5365 7.6042
Y 2.5401 -2.5365 2.5347
Y 2.5401 -5.0675 0.0042
Y 2.5401 -5.0675 5.0653
Er 2.5401 2.5279 2.5347
Er 2.5401 -2.5279 7.6042
```

The formation energy from the elements comes out at 63 meV per atom. For the density of states at the Fermi level, the calculation gives 23.742 states/eV/cell. As for the space-group type: No. 63. Its magnetization is 2.048 μB/cell.

***

16.
ScTa2Cd | PBE | relaxed

extended XYZ file:
```
4
Lattice="1.7780 -2.3333 0.0000 1.7780 2.3333 0.0000 0.0000 0.0000 9.5807" Properties=species:S:1:pos:R:3 pbc="T T T"
Sc 0.0000 0.0000 0.0000
Ta 0.0000 0.0000 4.5508
Ta 1.7780 0.0000 2.3593
Cd 1.7780 0.0000 7.0191
```

The formation energy from the elements comes out at 73 meV per atom. For the density of states at the Fermi level, the calculation gives 4.346 states/eV/cell. As for the space-group type: No. 35. Its magnetization is 0.000 μB/cell.

***

17.
Nb2VSi2 | PBE | relaxed

extended XYZ file:
```
10
Lattice="6.5418 0.0000 0.0000 0.0000 6.5418 0.0000 0.0000 0.0000 3.5522" Properties=species:S:1:pos:R:3 pbc="T T T"
Nb 1.1241 2.1468 0.0000
Nb 2.1468 5.4177 0.0000
Nb 4.3950 1.1241 0.0000
Nb 5.4177 4.3950 0.0000
V 0.0000 0.0000 1.7761
V 3.2709 3.2709 1.7761
Si 0.8555 4.1264 1.7761
Si 2.4154 0.8555 1.7761
Si 4.1264 5.6864 1.7761
Si 5.6864 2.4154 1.7761
```

As for the energy relative to the elements, uncorrected: -621.0 meV per atom. For the density of states at the Fermi level, the calculation gives 7.948 states/eV/cell. For the excess energy over the best structure of this formula in the dataset, the calculation gives 0.0000 eV per atom. As for the space-group type: No. 127. Its magnetization is 0.039 μB/cell.

***

18.
FePbW | PBE | relaxed

extended XYZ file:
```
3
Lattice="3.2221 0.0000 0.0000 -1.6110 2.7904 0.0000 0.0000 0.0000 6.3615" Properties=species:S:1:pos:R:3 pbc="T T T"
Fe 0.0000 0.0000 0.0000
Pb 1.6110 0.9301 2.3556
W 0.0000 1.8603 4.9711
```

The formation energy from the elements comes out at 747 meV per atom. For the density of states at the Fermi level, the calculation gives 2.304 states/eV/cell. As for the space-group type: No. 156. Its magnetization is 0.000 μB/cell.

***

19.
AcYErTm | PBE | relaxed

extended XYZ file:
```
4
Lattice="0.0000 4.1021 4.1021 4.1021 0.0000 4.1021 4.1021 4.1021 0.0000" Properties=species:S:1:pos:R:3 pbc="T T T"
Ac 0.0000 0.0000 0.0000
Y 4.1021 4.1021 4.1021
Er 2.0510 2.0510 2.0510
Tm 6.1531 6.1531 6.1531
```

The formation energy from the elements comes out at 118 meV per atom. For the density of states at the Fermi level, the calculation gives 5.826 states/eV/cell. For the excess energy over the best structure of this formula in the dataset, the calculation gives 0.0420 eV per atom. As for the space-group type: No. 216. Its magnetization is 0.000 μB/cell.

***

20.
RbPmS2 | PBE | relaxed

extended XYZ file:
```
4
Lattice="3.6073 0.0000 0.0000 0.0000 3.6073 0.0000 0.0000 0.0000 7.9081" Properties=species:S:1:pos:R:3 pbc="T T T"
Rb 0.0000 0.0000 0.0000
Pm 0.0000 0.0000 3.9541
S 1.8036 1.8036 2.3593
S 1.8036 1.8036 5.5488
```

As for the energy relative to the elements, uncorrected: -1562.2 meV per atom. For the density of states at the Fermi level, the calculation gives 0.530 states/eV/cell. As for the space-group type: No. 123. Its magnetization is 0.000 μB/cell.

***

Number 1: V 17.2 Å³ per atom. Number 2: V 24.9 Å³ per atom. Number 3: V 37.9 Å³ per atom. Number 4: V 22.8 Å³ per atom. Number 5: V 27.4 Å³ per atom. Number 6: V 35.0 Å³ per atom. Number 7: V 20.6 Å³ per atom. Number 8: V 17.2 Å³ per atom. Number 9: V 27.5 Å³ per atom. Number 10: V 14.7 Å³ per atom. Number 11: V 20.0 Å³ per atom. Number 12: V 19.9 Å³ per atom. Number 13: V 15.1 Å³ per atom. Number 14: V 27.5 Å³ per atom. Number 15: V 32.5 Å³ per atom. Number 16: V 19.9 Å³ per atom. Number 17: V 15.2 Å³ per atom. Number 18: V 19.1 Å³ per atom. Number 19: V 34.5 Å³ per atom. Number 20: V 25.7 Å³ per atom.